# 1
Material: HoTm2OsC2
Method: DFT, PBE
State: optimized geometry

Lattice parameters (Å, degrees): 3.651 5.527 10.890 90.00 90.00 90.00
Fractional coordinates of all 12 atoms:
C 0.000 0.272 0.122
C 0.500 0.228 0.622
C 0.500 0.772 0.378
C 0.000 0.728 0.878
Ho 0.000 0.000 0.500
Ho 0.500 0.500 0.000
Os 0.000 0.000 0.000
Os 0.500 0.500 0.500
Tm 0.000 0.454 0.706
Tm 0.500 0.046 0.206
Tm 0.500 0.954 0.794
Tm 0.000 0.546 0.294

Results
Formation energy (eV per formula unit): -1.6
Calculated density (g/cm³): 10.8

---

# 2
Material: La2AlSb
Method: DFT, PBE
State: optimized geometry

Lattice parameters (Å, degrees): 5.451 5.451 4.000 90.00 90.00 103.06
Each line ends with the local moment (μB).
Fractional coordinates of all 4 atoms:
Sb 0.500 0.000 0.500  0.00
Al 0.000 0.500 0.500  0.00
La 0.000 0.000 0.000  0.10
La 0.500 0.500 0.000  0.10

Results
Offset from the most stable computed form (meV/atom): 99
Calculated density (g/cm³): 6.1

---

# 3
Material: SbTeP2Cl
Method: DFT, PBE
State: optimized geometry

Lattice parameters (Å, degrees): 5.187 5.187 4.956 90.00 90.00 90.00
Fractional coordinates of all 5 atoms:
Te 0.500 0.500 0.500
P 0.500 0.000 0.000
P 0.000 0.500 0.000
Sb 0.000 0.000 0.000
Cl 0.000 0.000 0.500

Results
Offset from the most stable computed form (meV/atom): 0
Calculated density (g/cm³): 4.3

---

# 4
Material: NaTl2In
Method: DFT, PBE
State: optimized geometry

Lattice parameters (Å, degrees): 5.404 5.404 5.404 60.00 60.00 60.00
Fractional coordinates of all 4 atoms:
In 0.750 0.750 0.750
Tl 0.000 0.000 0.000
Tl 0.500 0.500 0.500
Na 0.250 0.250 0.250

Results
Formation energy (eV per formula unit): -0.3
Calculated density (g/cm³): 8.1

---

The total energy results, record by record, are as follows: -7.473 -5.089 -3.281 -2.278 eV per atom.